## Zr6TiTl3 (GGA-PBE)

Data for a relaxed structure of Zr6TiTl3.

Values from the calculation:
Its calculated volume is 23.55 A^3/atom. The calculation puts the formation energy from the elements at 0.19 eV/atom. Its total magnetization is 0.819 μB per formula unit.

Cell lengths 8.4672, 8.4672, 6.1874 Å; angles 46.82, 46.82, 60.00 degrees
Last column: nearest neighbours and their distance in Å.
Fractional positions:
Zr  0.0836  0.4571  0.7086  1 Ti 2.83, 2 Tl 2.98-2.99
Zr  0.6165  0.2429  0.1913  1 Ti 2.83, 2 Tl 2.98-2.99
Zr  0.9493  0.6165  0.1913  1 Ti 2.83, 2 Tl 2.98-2.99
Zr  0.7507  0.0836  0.7086  1 Ti 2.83, 2 Tl 2.98-2.99
Zr  0.2429  0.9493  0.1913  1 Ti 2.83, 2 Tl 2.98-2.99
Zr  0.4571  0.7507  0.7086  1 Ti 2.83, 2 Tl 2.98-2.99
Tl  0.0945  0.0945  0.7164  1 Ti 2.78, 1 Tl 2.91, 3 Zr 2.99
Tl  0.6054  0.6054  0.1837  1 Ti 2.78, 1 Tl 2.91, 3 Zr 2.99
Tl  0.3500  0.3500  0.9502  2 Tl 2.91, 6 Zr 2.98
Ti  0.8500  0.8500  0.4501  2 Tl 2.78, 6 Zr 2.83